No. 1
Material: LiTe2PRh
Method: DFT, PBE-GGA
State: relaxed

a = 4.971 Å, b = 4.971 Å, c = 4.117 Å
α = 90.00°, β = 90.00°, γ = 90.00°
Fractional positions:
Li  0.000  0.000  0.000
Te  0.000  0.500  0.000
Te  0.500  0.000  0.000
P  0.000  0.000  0.500
Rh  0.500  0.500  0.500

Properties
The value obtained for the theoretical density is 6464 kg/m3. The density of states at the Fermi level comes out at 0.802 states/eV per atom. For the uncorrected formation energy, the calculation gives 317 kJ/mol of formula units.


No. 2
Material: LiTh2P3Rh12
Method: DFT, PBE-GGA
State: relaxed

a = 6.739 Å, b = 6.739 Å, c = 6.739 Å
α = 81.43°, β = 81.43°, γ = 81.43°
Fractional positions:
Li  0.000  0.000  0.000
Th  0.374  0.374  0.374
Th  0.626  0.626  0.626
P  0.000  0.000  0.500
P  0.000  0.500  0.000
P  0.500  0.000  0.000
Rh  0.093  0.640  0.640
Rh  0.172  0.172  0.665
Rh  0.172  0.665  0.172
Rh  0.335  0.828  0.828
Rh  0.360  0.360  0.907
Rh  0.360  0.907  0.360
Rh  0.640  0.093  0.640
Rh  0.640  0.640  0.093
Rh  0.665  0.172  0.172
Rh  0.828  0.335  0.828
Rh  0.828  0.828  0.335
Rh  0.907  0.360  0.360

Properties
The value obtained for the theoretical density is 10067 kg/m3. As for the formation energy: -0.393 eV per atom. The density of states at the Fermi level comes out at 0.996 states/eV per atom.


No. 3
Material: LiTh2P3Rh4
Method: DFT, PBE-GGA
State: relaxed

a = 4.069 Å, b = 4.069 Å, c = 10.051 Å
α = 90.00°, β = 90.00°, γ = 90.00°
Fractional positions:
Li  0.000  0.000  0.000
Th  0.000  0.500  0.751
Th  0.500  0.000  0.249
P  0.000  0.500  0.363
P  0.500  0.000  0.637
P  0.500  0.500  0.000
Rh  0.000  0.000  0.500
Rh  0.000  0.500  0.130
Rh  0.500  0.000  0.870
Rh  0.500  0.500  0.500

Properties
The value obtained for the theoretical density is 9736 kg/m3. As for the formation energy: -1.078 eV per atom. The density of states at the Fermi level comes out at 0.514 states/eV per atom.


No. 4
Material: LiThP2Rh7
Method: DFT, PBE-GGA
State: relaxed

a = 9.918 Å, b = 9.918 Å, c = 9.918 Å
α = 155.59°, β = 155.59°, γ = 34.79°
Fractional positions:
Li  0.000  0.000  0.000
Th  0.250  0.750  0.500
P  0.584  0.084  0.500
P  0.916  0.416  0.500
Rh  0.033  0.533  0.500
Rh  0.139  0.139  0.000
Rh  0.365  0.365  0.000
Rh  0.467  0.967  0.500
Rh  0.635  0.635  0.000
Rh  0.750  0.250  0.500
Rh  0.861  0.861  0.000

Properties
The value obtained for the theoretical density is 10193 kg/m3. As for the formation energy: -0.512 eV per atom. The density of states at the Fermi level comes out at 0.783 states/eV per atom.


No. 5
Material: LiTmP2Rh5
Method: DFT, PBE-GGA
State: relaxed

a = 4.052 Å, b = 4.052 Å, c = 8.491 Å
α = 90.00°, β = 90.00°, γ = 90.00°
Fractional positions:
Li  0.000  0.000  0.000
Tm  0.000  0.000  0.500
P  0.500  0.500  0.132
P  0.500  0.500  0.868
Rh  0.000  0.500  0.255
Rh  0.000  0.500  0.745
Rh  0.500  0.000  0.255
Rh  0.500  0.000  0.745
Rh  0.500  0.500  0.500

Properties
The value obtained for the theoretical density is 8961 kg/m3. As for the formation energy: -0.752 eV per atom. The density of states at the Fermi level comes out at 0.585 states/eV per atom.


No. 6
Material: LiTm2P3Rh12
Method: DFT, PBE-GGA
State: relaxed

a = 6.618 Å, b = 6.618 Å, c = 6.618 Å
α = 82.71°, β = 82.71°, γ = 82.71°
Fractional positions:
Li  0.000  0.000  0.000
Tm  0.373  0.373  0.373
Tm  0.627  0.627  0.627
P  0.000  0.000  0.500
P  0.000  0.500  0.000
P  0.500  0.000  0.000
Rh  0.093  0.630  0.630
Rh  0.174  0.174  0.673
Rh  0.174  0.673  0.174
Rh  0.327  0.826  0.826
Rh  0.370  0.370  0.907
Rh  0.370  0.907  0.370
Rh  0.630  0.093  0.630
Rh  0.630  0.630  0.093
Rh  0.673  0.174  0.174
Rh  0.826  0.327  0.826
Rh  0.826  0.826  0.327
Rh  0.907  0.370  0.370

Properties
The value obtained for the theoretical density is 9803 kg/m3. As for the formation energy: -0.371 eV per atom. The density of states at the Fermi level comes out at 0.808 states/eV per atom.


- Look up the density of states at the Fermi level of the first one.
  0.802 states/eV per atom


- What is the formula in the fifth record?
  LiTmP2Rh5


- The highest density of states at the Fermi level belongs to which entry?
  LiTh2P3Rh12


- What is the formula in the fourth record?
  LiThP2Rh7